This record from Alexandria via LeMat-Bulk describes a geometry-optimized AcLa2Co structure. The functional is PBE.

## Properties
Energy relative to the elements: 0.07 eV per atom
Calculated density: 6505 kg/m³
Magnetic moment: 0.001 μB/cell

POSCAR file:
```
AcLa2Co
1.0
3.9252 0.0000 0.0000
1.9626 3.3993 0.0000
1.9626 1.1331 10.7861
Ac Co La
1 1 2
Cartesian
0.0000 0.0000 0.0000
3.9252 2.2662 5.3930
1.9626 1.1331 6.9479
5.8878 3.3993 3.8382
```

---

This record from Alexandria via LeMat-Bulk describes a geometry-optimized Y2ScPaAs4 structure. The functional is PBE.

## Properties
Energy relative to the elements: -1.38 eV per atom
Calculated density: 6613 kg/m³
Magnetic moment: 0.001 μB/cell

POSCAR file:
```
Y2ScPaAs4
1.0
-0.5656 1.7045 3.6550
-4.0112 -5.4048 1.8998
6.7114 -1.3528 1.6695
Y Sc Pa As
2 1 1 4
Cartesian
3.0729 0.1758 2.6622
1.3501 -3.3788 1.7846
0.0000 0.0000 0.0000
-2.2884 -1.8501 2.7774
0.3416 -0.7770 2.6839
1.7931 -4.2761 4.5403
4.0904 -2.3553 1.7314
-1.3902 -4.4022 1.8379
```

---

This record from Alexandria via LeMat-Bulk describes a geometry-optimized TlW2Cl structure. The functional is PBE.

## Properties
Calculated density: 13134 kg/m³
Magnetic moment: 0.002 μB/cell
Energy relative to the elements, uncorrected: 1.52 eV/atom

POSCAR file:
```
TlW2Cl
1.0
-1.0646 -3.4982 -4.3188
4.9829 2.6339 0.5063
0.9883 -2.1590 1.5052
Cl Tl W
1 1 2
Cartesian
-0.0382 -2.8286 -1.4068
2.9856 0.2374 1.0057
0.0000 0.0000 0.0000
1.9592 -0.4322 -1.9062
```

---

This record from Alexandria via LeMat-Bulk describes a geometry-optimized Te2IrCl structure. The functional is PBE.

## Properties
Calculated density: 8420 kg/m³
Magnetic moment: 0.000 μB/cell
Energy relative to the elements, uncorrected: 0.40 eV/atom

POSCAR file:
```
Te2IrCl
1.0
1.7831 0.0000 11.5289
-0.8915 1.5442 11.5289
-0.8915 -1.5442 11.5289
Ir Te Cl
1 2 1
Cartesian
0.0000 0.0000 0.0000
0.0000 0.0000 32.0097
0.0000 0.0000 2.5770
0.0000 0.0000 17.2933
```

---

This record from Alexandria via LeMat-Bulk describes a geometry-optimized Pb2WCl structure. The functional is PBE.

## Properties
Calculated density: 9900 kg/m³
Magnetic moment: 2.391 μB/cell
Energy relative to the elements, uncorrected: 0.86 eV/atom

POSCAR file:
```
Pb2WCl
1.0
3.2322 0.0000 0.0000
0.0000 6.7522 0.0000
0.0000 0.0000 4.8702
Cl Pb W
1 2 1
Cartesian
0.0000 3.3761 2.4351
0.0000 0.0000 0.0000
1.6161 3.3761 0.0000
1.6161 0.0000 2.4351
```

---

This record from Alexandria via LeMat-Bulk describes a geometry-optimized Ba2LiInSe structure. The functional is PBE.

## Properties
Calculated density: 4094 kg/m³
Magnetic moment: 0.000 μB/cell
Energy relative to the elements, uncorrected: -0.83 eV/atom

POSCAR file:
```
Ba2LiInSe
1.0
6.4058 0.0000 0.0000
0.0000 6.4058 0.0000
0.0000 0.0000 4.6983
Li Ba Se In
1 2 1 1
Cartesian
0.0000 0.0000 2.3492
0.0000 3.2029 0.0000
3.2029 0.0000 0.0000
0.0000 0.0000 0.0000
3.2029 3.2029 2.3492
```